Record 1
The following is a PBE calculation of a geometry-optimized CaYCd2 structure, from Alexandria.

a = 4.019 Å, b = 4.029 Å, c = 6.983 Å
α = 90.00°, β = 90.00°, γ = 90.00°
Site moments in Bohr magnetons follow the coordinates.
Atoms (fractional coordinates):
Y1 0.000 0.000 0.463  0.30
Ca1 0.500 0.500 0.782  0.07
Cd1 0.000 0.000 0.002  0.01
Cd2 0.500 0.500 0.254  0.01

The calculation puts the formation enthalpy at 0 K at -0.65 eV/f.u. The total magnetic moment is 0.23 μB per atom. The calculation puts the final energy at -2.737 eV per atom. As for the space group: Pmm2, No. 25.


Record 2
The following is a PBE calculation of a geometry-optimized Li2ZnCl structure, from Alexandria.

a = 4.808 Å, b = 4.808 Å, c = 4.808 Å
α = 60.00°, β = 60.00°, γ = 60.00°
Atoms (fractional coordinates):
Zn1 0.500 0.500 0.500
Li1 0.250 0.250 0.250
Li2 0.750 0.750 0.750
Cl1 0.000 0.000 0.000

The uncorrected formation energy comes out at -170 kJ/mol of formula units. The total magnetic moment is 0.00 μB per atom. The calculation puts the final energy at -2.178 eV per atom. As for the space group: Fm-3m, No. 225. The calculation puts the energy above the most stable polymorph in this dataset at 331.2 meV/atom.